1.
Nd2MgCuO5 after structural relaxation. Source: Alexandria, functional PBE.

**Crystal system**: tetragonal
**Formation energy from raw total energies**: -2.1733 eV/atom
**Calculated total energy**: -6.620 eV/atom

Unit cell a=6.625 b=6.625 c=5.695 alpha=90.00 beta=90.00 gamma=90.00
Space group P4/mbm (No. 127)
Unique sites:
Nd 0.171 0.329 0.000 x4
Mg 0.000 0.000 0.500 x2
Cu 0.000 0.500 0.500 x2
O 0.000 0.000 0.000 x2
O 0.146 0.646 0.265 x8

2.
PmNdMgCu after structural relaxation. Source: Alexandria, functional PBE.

**Crystal system**: cubic
**N(E_F)**: 4.60 states/eV/f.u.
**DFT formation energy**: -40 meV/atom
**Calculated total energy**: -3.842 eV/atom

Unit cell a=7.462 b=7.462 c=7.462 alpha=90.00 beta=90.00 gamma=90.00
Space group F-43m (No. 216)
Unique sites:
Pm 0.000 0.000 0.000 x4
Nd 0.000 0.000 0.500 x4
Mg 0.250 0.250 0.250 x4
Cu 0.250 0.250 0.750 x4

3.
NdMgCuPt after structural relaxation. Source: Alexandria, functional PBE.

**Crystal system**: cubic
**N(E_F)**: 3.34 states/eV/f.u.
**DFT formation energy**: -553 meV/atom
**Calculated total energy**: -4.678 eV/atom

Unit cell a=6.863 b=6.863 c=6.863 alpha=90.00 beta=90.00 gamma=90.00
Space group F-43m (No. 216)
Unique sites:
Nd 0.000 0.000 0.000 x4
Mg 0.000 0.000 0.500 x4
Cu 0.250 0.250 0.750 x4
Pt 0.250 0.250 0.250 x4

Copy entry 1 word for word.
Nd2MgCuO5 after structural relaxation. Source: Alexandria, functional PBE.

**Crystal system**: tetragonal
**Formation energy from raw total energies**: -2.1733 eV/atom
**Calculated total energy**: -6.620 eV/atom

Unit cell a=6.625 b=6.625 c=5.695 alpha=90.00 beta=90.00 gamma=90.00
Space group P4/mbm (No. 127)
Unique sites:
Nd 0.171 0.329 0.000 x4
Mg 0.000 0.000 0.500 x2
Cu 0.000 0.500 0.500 x2
O 0.000 0.000 0.000 x2
O 0.146 0.646 0.265 x8

Q: Among the records above, which one has the lowest calculated total energy?
A: Nd2MgCuO5